[1]
{
  "formula": "YHo4Co4",
  "functional": "PBE-GGA",
  "state": "optimized geometry",
  "lattice_angstrom": [[8.398, 0.000, 0.000], [0.000, 8.398, 0.000], [0.000, 0.000, 5.538]],
  "species": ["Y", "Y", "Ho", "Ho", "Ho", "Ho", "Ho", "Ho", "Ho", "Ho", "Co", "Co", "Co", "Co", "Co", "Co", "Co", "Co"],
  "frac_coords": [[0.250, 0.250, 0.250], [0.750, 0.750, 0.750], [0.063, 0.673, 0.132], [0.173, 0.937, 0.632], [0.327, 0.563, 0.632], [0.437, 0.827, 0.132], [0.563, 0.173, 0.868], [0.673, 0.437, 0.368], [0.827, 0.063, 0.368], [0.937, 0.327, 0.868], [0.015, 0.611, 0.616], [0.111, 0.985, 0.116], [0.389, 0.515, 0.116], [0.485, 0.889, 0.616], [0.515, 0.111, 0.384], [0.611, 0.485, 0.884], [0.889, 0.015, 0.884], [0.985, 0.389, 0.384]],
  "spacegroup": "P4_2/n, No. 86",
  "formation_energy_ev_per_atom": -0.066
}



[2]
{
  "formula": "Tb6SnIr",
  "functional": "PBE-GGA",
  "state": "optimized geometry",
  "lattice_angstrom": [[6.878, 0.000, 0.000], [-3.438, 5.966, 0.000], [-3.429, -1.990, 6.530]],
  "species": ["Tb", "Tb", "Tb", "Tb", "Tb", "Tb", "Sn", "Ir"],
  "frac_coords": [[0.038, 0.081, 0.257], [0.301, 0.719, 0.257], [0.323, 0.543, 0.743], [0.677, 0.457, 0.257], [0.699, 0.281, 0.743], [0.962, 0.919, 0.743], [0.500, 0.000, 0.000], [0.500, 0.500, 0.500]],
  "spacegroup": "P-1, No. 2",
  "formation_energy_ev_per_atom": -0.229
}



[3]
{
  "formula": "AcLaPdRu",
  "functional": "PBE-GGA",
  "state": "optimized geometry",
  "lattice_angstrom": [[7.358, 0.000, 0.000], [0.000, 7.358, 0.000], [0.000, 0.000, 7.358]],
  "species": ["Ac", "Ac", "Ac", "Ac", "La", "La", "La", "La", "Pd", "Pd", "Pd", "Pd", "Ru", "Ru", "Ru", "Ru"],
  "frac_coords": [[0.000, 0.000, 0.000], [0.000, 0.500, 0.500], [0.500, 0.000, 0.500], [0.500, 0.500, 0.000], [0.000, 0.000, 0.500], [0.000, 0.500, 0.000], [0.500, 0.000, 0.000], [0.500, 0.500, 0.500], [0.250, 0.250, 0.250], [0.250, 0.750, 0.750], [0.750, 0.250, 0.750], [0.750, 0.750, 0.250], [0.250, 0.250, 0.750], [0.250, 0.750, 0.250], [0.750, 0.250, 0.250], [0.750, 0.750, 0.750]],
  "spacegroup": "F-43m, No. 216",
  "formation_energy_ev_per_atom": -0.377
}



[4]
{
  "formula": "Li2PmCd2Ag2",
  "functional": "PBE-GGA",
  "state": "optimized geometry",
  "lattice_angstrom": [[8.424, 0.000, 0.000], [0.000, 4.808, 0.000], [-2.668, 0.000, 7.281]],
  "species": ["Li", "Li", "Li", "Li", "Pm", "Pm", "Cd", "Cd", "Cd", "Cd", "Ag", "Ag", "Ag", "Ag"],
  "frac_coords": [[0.147, 0.000, 0.444], [0.353, 0.500, 0.556], [0.647, 0.500, 0.444], [0.853, 0.000, 0.556], [0.000, 0.000, 0.000], [0.500, 0.500, 0.000], [0.074, 0.500, 0.717], [0.426, 0.000, 0.283], [0.574, 0.000, 0.717], [0.926, 0.500, 0.283], [0.232, 0.500, 0.200], [0.268, 0.000, 0.800], [0.732, 0.000, 0.200], [0.768, 0.500, 0.800]],
  "spacegroup": "C2/m, No. 12",
  "formation_energy_ev_per_atom": -0.243
}



[5]
{
  "formula": "SiNi2Pt",
  "functional": "PBE-GGA",
  "state": "optimized geometry",
  "lattice_angstrom": [[3.637, 0.000, 0.000], [0.000, 3.637, 0.000], [0.000, 0.000, 3.698]],
  "species": ["Si", "Ni", "Ni", "Pt"],
  "frac_coords": [[0.000, 0.000, 0.000], [0.000, 0.500, 0.500], [0.500, 0.000, 0.500], [0.500, 0.500, 0.000]],
  "spacegroup": "P4/mmm, No. 123",
  "formation_energy_uncorrected_ev_per_fu": -1.84
}



[6]
{
  "formula": "AgSIN2",
  "functional": "PBE-GGA",
  "state": "optimized geometry",
  "lattice_angstrom": [[3.924, 0.000, 0.000], [0.000, 3.924, 0.000], [0.000, 0.000, 5.781]],
  "species": ["Ag", "S", "I", "N", "N"],
  "frac_coords": [[0.000, 0.000, 0.000], [0.500, 0.500, 0.000], [0.500, 0.500, 0.500], [0.000, 0.500, 0.500], [0.500, 0.000, 0.500]],
  "spacegroup": "P4/mmm, No. 123",
  "formation_energy_uncorrected_ev_per_fu": 8.80
}



[7]
{
  "formula": "BaLi2PRh",
  "functional": "PBE-GGA",
  "state": "optimized geometry",
  "lattice_angstrom": [[4.890, 0.000, 0.000], [0.000, 4.890, 0.000], [0.000, 0.000, 4.496]],
  "species": ["Ba", "Li", "Li", "P", "Rh"],
  "frac_coords": [[0.000, 0.000, 0.000], [0.000, 0.500, 0.500], [0.500, 0.000, 0.500], [0.500, 0.500, 0.000], [0.500, 0.500, 0.500]],
  "spacegroup": "P4/mmm, No. 123",
  "formation_energy_ev_per_atom": -0.502
}



[8]
{
  "formula": "LaErIn6",
  "functional": "PBE-GGA",
  "state": "optimized geometry",
  "lattice_angstrom": [[4.711, 0.000, 0.000], [0.000, 4.711, 0.000], [0.000, 0.000, 9.387]],
  "species": ["La", "Er", "In", "In", "In", "In", "In", "In"],
  "frac_coords": [[0.000, 0.000, 0.000], [0.000, 0.000, 0.500], [0.000, 0.500, 0.258], [0.000, 0.500, 0.742], [0.500, 0.000, 0.258], [0.500, 0.000, 0.742], [0.500, 0.500, 0.000], [0.500, 0.500, 0.500]],
  "spacegroup": "P4/mmm, No. 123",
  "formation_energy_ev_per_atom": -0.436
}



[9]
{
  "formula": "PbSeS3",
  "functional": "PBE-GGA",
  "state": "optimized geometry",
  "lattice_angstrom": [[7.595, 0.000, 0.000], [0.000, 6.749, 0.000], [0.000, 0.000, 9.882]],
  "species": ["Pb", "Pb", "Pb", "Pb", "Se", "Se", "Se", "Se", "S", "S", "S", "S", "S", "S", "S", "S", "S", "S", "S", "S"],
  "frac_coords": [[0.108, 0.042, 0.000], [0.392, 0.542, 0.500], [0.608, 0.458, 0.000], [0.892, 0.958, 0.500], [0.058, 0.552, 0.203], [0.442, 0.052, 0.703], [0.558, 0.948, 0.203], [0.942, 0.448, 0.703], [0.017, 0.370, 0.493], [0.174, 0.826, 0.289], [0.209, 0.848, 0.688], [0.291, 0.348, 0.188], [0.326, 0.326, 0.789], [0.483, 0.870, 0.993], [0.517, 0.130, 0.493], [0.674, 0.674, 0.289], [0.709, 0.652, 0.688], [0.791, 0.152, 0.188], [0.826, 0.174, 0.789], [0.983, 0.630, 0.993]],
  "spacegroup": "Pna2_1, No. 33",
  "formation_energy_uncorrected_ev_per_fu": -0.36
}



[10]
{
  "formula": "Sc3ZnC",
  "functional": "PBE-GGA",
  "state": "optimized geometry",
  "lattice_angstrom": [[0.000, 5.981, 5.981], [5.981, 0.000, 5.981], [5.981, 5.981, 0.000]],
  "species": ["Sc", "Sc", "Sc", "Sc", "Sc", "Sc", "Sc", "Sc", "Sc", "Sc", "Sc", "Sc", "Zn", "Zn", "Zn", "Zn", "C", "C", "C", "C"],
  "frac_coords": [[0.069, 0.069, 0.681], [0.069, 0.681, 0.069], [0.069, 0.681, 0.681], [0.319, 0.319, 0.931], [0.319, 0.931, 0.319], [0.319, 0.931, 0.931], [0.681, 0.069, 0.069], [0.681, 0.069, 0.681], [0.681, 0.681, 0.069], [0.931, 0.319, 0.319], [0.931, 0.319, 0.931], [0.931, 0.931, 0.319], [0.000, 0.500, 0.500], [0.500, 0.000, 0.500], [0.500, 0.500, 0.000], [0.500, 0.500, 0.500], [0.000, 0.000, 0.000], [0.000, 0.000, 0.500], [0.000, 0.500, 0.000], [0.500, 0.000, 0.000]],
  "spacegroup": "Fd-3m, No. 227",
  "formation_energy_ev_per_atom": -0.078
}



[11]
{
  "formula": "SiW2N",
  "functional": "PBE-GGA",
  "state": "optimized geometry",
  "lattice_angstrom": [[4.849, 0.000, 0.000], [0.000, 4.849, 0.000], [0.000, 0.000, 11.160]],
  "species": ["Si", "Si", "Si", "Si", "W", "W", "W", "W", "W", "W", "W", "W", "N", "N", "N", "N"],
  "frac_coords": [[0.000, 0.000, 0.000], [0.000, 0.500, 0.250], [0.500, 0.000, 0.750], [0.500, 0.500, 0.500], [0.158, 0.250, 0.625], [0.250, 0.658, 0.875], [0.250, 0.842, 0.375], [0.342, 0.250, 0.125], [0.658, 0.750, 0.125], [0.750, 0.158, 0.375], [0.750, 0.342, 0.875], [0.842, 0.750, 0.625], [0.000, 0.000, 0.500], [0.000, 0.500, 0.750], [0.500, 0.000, 0.250], [0.500, 0.500, 0.000]],
  "spacegroup": "I-42d, No. 122",
  "formation_energy_uncorrected_ev_per_fu": 2.22
}



[12]
{
  "formula": "SrRe2As",
  "functional": "PBE-GGA",
  "state": "optimized geometry",
  "lattice_angstrom": [[5.686, 0.000, 0.000], [0.000, 11.075, 0.000], [-1.316, 0.000, 2.419]],
  "species": ["Sr", "Sr", "Re", "Re", "Re", "Re", "As", "As"],
  "frac_coords": [[0.000, 0.000, 0.000], [0.500, 0.500, 0.000], [0.250, 0.250, 0.500], [0.250, 0.750, 0.500], [0.750, 0.250, 0.500], [0.750, 0.750, 0.500], [0.000, 0.500, 0.000], [0.500, 0.000, 0.000]],
  "spacegroup": "C2/m, No. 12",
  "formation_energy_ev_per_atom": 0.832
}



[13]
{
  "formula": "CePdAu3",
  "functional": "PBE-GGA",
  "state": "optimized geometry",
  "lattice_angstrom": [[4.572, -4.872, 0.000], [4.572, 4.872, 0.000], [0.000, 0.000, 5.341]],
  "species": ["Ce", "Ce", "Pd", "Pd", "Au", "Au", "Au", "Au", "Au", "Au"],
  "frac_coords": [[0.213, 0.787, 0.750], [0.787, 0.213, 0.250], [0.055, 0.945, 0.250], [0.945, 0.055, 0.750], [0.117, 0.534, 0.250], [0.466, 0.883, 0.250], [0.500, 0.500, 0.000], [0.500, 0.500, 0.500], [0.534, 0.117, 0.750], [0.883, 0.466, 0.750]],
  "spacegroup": "Cmcm, No. 63",
  "formation_energy_ev_per_atom": -0.197
}



[14]
{
  "formula": "Na5Sr2Li",
  "functional": "PBE-GGA",
  "state": "optimized geometry",
  "lattice_angstrom": [[0.000, 4.966, 7.042], [4.959, 0.000, 7.042], [4.959, 4.966, 0.000]],
  "species": ["Na", "Na", "Na", "Na", "Na", "Sr", "Sr", "Li"],
  "frac_coords": [[0.000, 0.000, 0.000], [0.406, 0.896, 0.104], [0.406, 0.897, 0.594], [0.896, 0.406, 0.594], [0.897, 0.406, 0.103], [0.390, 0.390, 0.110], [0.890, 0.890, 0.610], [0.796, 0.796, 0.204]],
  "spacegroup": "Fmm2, No. 42",
  "formation_energy_ev_per_atom": 0.125
}



[15]
{
  "formula": "CaSbAsIr2",
  "functional": "PBE-GGA",
  "state": "optimized geometry",
  "lattice_angstrom": [[4.902, 0.000, 0.000], [0.000, 4.902, 0.000], [0.000, 0.000, 5.296]],
  "species": ["Ca", "Sb", "As", "Ir", "Ir"],
  "frac_coords": [[0.000, 0.000, 0.000], [0.500, 0.500, 0.500], [0.500, 0.500, 0.000], [0.000, 0.500, 0.500], [0.500, 0.000, 0.500]],
  "spacegroup": "P4/mmm, No. 123",
  "formation_energy_uncorrected_ev_per_fu": 3.33
}



[16]
{
  "formula": "Ac2TlSnPt6",
  "functional": "PBE-GGA",
  "state": "optimized geometry",
  "lattice_angstrom": [[0.000, 5.061, 5.061], [5.061, 0.000, 5.061], [5.061, 5.061, 0.000]],
  "species": ["Ac", "Ac", "Tl", "Sn", "Pt", "Pt", "Pt", "Pt", "Pt", "Pt"],
  "frac_coords": [[0.250, 0.250, 0.250], [0.750, 0.750, 0.750], [0.000, 0.000, 0.000], [0.500, 0.500, 0.500], [0.253, 0.253, 0.747], [0.253, 0.747, 0.253], [0.253, 0.747, 0.747], [0.747, 0.253, 0.253], [0.747, 0.253, 0.747], [0.747, 0.747, 0.253]],
  "spacegroup": "Fm-3m, No. 225",
  "formation_energy_ev_per_atom": -0.170
}



[17]
{
  "formula": "NiMo2Br",
  "functional": "PBE-GGA",
  "state": "optimized geometry",
  "lattice_angstrom": [[5.254, 0.000, 0.000], [0.000, 8.534, 0.000], [-0.877, 0.000, 2.771]],
  "species": ["Ni", "Ni", "Mo", "Mo", "Mo", "Mo", "Br", "Br"],
  "frac_coords": [[0.000, 0.000, 0.000], [0.500, 0.500, 0.000], [0.250, 0.250, 0.500], [0.250, 0.750, 0.500], [0.750, 0.250, 0.500], [0.750, 0.750, 0.500], [0.000, 0.500, 0.000], [0.500, 0.000, 0.000]],
  "spacegroup": "C2/m, No. 12",
  "formation_energy_uncorrected_ev_per_fu": 3.31
}



[18]
{
  "formula": "Fe3C",
  "functional": "PBE-GGA",
  "state": "optimized geometry",
  "lattice_angstrom": [[3.763, 0.000, 0.000], [0.000, 3.763, 0.000], [0.000, 0.000, 3.214]],
  "species": ["Fe", "Fe", "Fe", "C"],
  "frac_coords": [[0.000, 0.000, 0.000], [0.000, 0.500, 0.500], [0.500, 0.000, 0.500], [0.500, 0.500, 0.500]],
  "spacegroup": "P4/mmm, No. 123",
  "formation_energy_ev_per_atom": 0.514
}



[19]
{
  "formula": "ErThPtRh",
  "functional": "PBE-GGA",
  "state": "optimized geometry",
  "lattice_angstrom": [[7.067, 0.000, 0.000], [0.000, 7.067, 0.000], [0.000, 0.000, 7.067]],
  "species": ["Er", "Er", "Er", "Er", "Th", "Th", "Th", "Th", "Pt", "Pt", "Pt", "Pt", "Rh", "Rh", "Rh", "Rh"],
  "frac_coords": [[0.000, 0.000, 0.000], [0.000, 0.500, 0.500], [0.500, 0.000, 0.500], [0.500, 0.500, 0.000], [0.000, 0.000, 0.500], [0.000, 0.500, 0.000], [0.500, 0.000, 0.000], [0.500, 0.500, 0.500], [0.250, 0.250, 0.250], [0.250, 0.750, 0.750], [0.750, 0.250, 0.750], [0.750, 0.750, 0.250], [0.250, 0.250, 0.750], [0.250, 0.750, 0.250], [0.750, 0.250, 0.250], [0.750, 0.750, 0.750]],
  "spacegroup": "F-43m, No. 216",
  "formation_energy_ev_per_atom": -0.965
}



[20]
{
  "formula": "CaP2AuF",
  "functional": "PBE-GGA",
  "state": "optimized geometry",
  "lattice_angstrom": [[4.750, 0.000, 0.000], [0.000, 4.750, 0.000], [0.000, 0.000, 4.766]],
  "species": ["Ca", "P", "P", "Au", "F"],
  "frac_coords": [[0.000, 0.000, 0.000], [0.000, 0.500, 0.500], [0.500, 0.000, 0.500], [0.500, 0.500, 0.500], [0.500, 0.500, 0.000]],
  "spacegroup": "P4/mmm, No. 123",
  "formation_energy_uncorrected_ev_per_fu": -1.65
}



[21]
{
  "formula": "NaLa2ScH",
  "functional": "PBE-GGA",
  "state": "optimized geometry",
  "lattice_angstrom": [[5.724, 0.000, 0.000], [0.000, 5.724, 0.000], [0.000, 0.000, 4.039]],
  "species": ["Na", "La", "La", "Sc", "H"],
  "frac_coords": [[0.000, 0.000, 0.000], [0.000, 0.500, 0.500], [0.500, 0.000, 0.500], [0.500, 0.500, 0.000], [0.500, 0.500, 0.500]],
  "total_energy_ev_per_cell": -20.7,
  "spacegroup": "P4/mmm, No. 123"
}



[22]
{
  "formula": "InTcPS2",
  "functional": "PBE-GGA",
  "state": "optimized geometry",
  "lattice_angstrom": [[4.771, 0.000, 0.000], [0.000, 4.771, 0.000], [0.000, 0.000, 4.605]],
  "species": ["In", "Tc", "P", "S", "S"],
  "frac_coords": [[0.000, 0.000, 0.000], [0.500, 0.500, 0.500], [0.500, 0.500, 0.000], [0.000, 0.500, 0.500], [0.500, 0.000, 0.500]],
  "spacegroup": "P4/mmm, No. 123",
  "formation_energy_uncorrected_ev_per_fu": 0.97
}



[23]
{
  "formula": "SmGe2PRu2",
  "functional": "PBE-GGA",
  "state": "optimized geometry",
  "lattice_angstrom": [[4.462, 0.000, 0.000], [0.000, 4.462, 0.000], [0.000, 0.000, 5.551]],
  "species": ["Sm", "Ge", "Ge", "P", "Ru", "Ru"],
  "frac_coords": [[0.000, 0.000, 0.000], [0.500, 0.500, 0.224], [0.500, 0.500, 0.776], [0.000, 0.000, 0.500], [0.000, 0.500, 0.500], [0.500, 0.000, 0.500]],
  "spacegroup": "P4/mmm, No. 123",
  "formation_energy_ev_per_atom": -0.368
}



[24]
{
  "formula": "NiMo3",
  "functional": "PBE-GGA",
  "state": "optimized geometry",
  "lattice_angstrom": [[3.883, 0.000, 0.000], [0.000, 3.883, 0.000], [0.000, 0.000, 3.883]],
  "species": ["Ni", "Mo", "Mo", "Mo"],
  "frac_coords": [[0.000, 0.000, 0.000], [0.000, 0.500, 0.500], [0.500, 0.000, 0.500], [0.500, 0.500, 0.000]],
  "spacegroup": "Pm-3m, No. 221",
  "formation_energy_ev_per_atom": 0.107
}



[25]
{
  "formula": "AsWAu3",
  "functional": "PBE-GGA",
  "state": "optimized geometry",
  "lattice_angstrom": [[5.041, 0.000, 0.000], [0.000, 5.041, 0.000], [0.000, 0.000, 5.041]],
  "species": ["As", "W", "Au", "Au", "Au"],
  "frac_coords": [[0.000, 0.000, 0.000], [0.500, 0.500, 0.500], [0.000, 0.500, 0.500], [0.500, 0.000, 0.500], [0.500, 0.500, 0.000]],
  "spacegroup": "Pm-3m, No. 221",
  "formation_energy_ev_per_atom": 1.445
}